1.
CsSm2Ag3Te5, optimized geometry, DFT GGA-PBE; total energy = -4.05 eV per atom; magnetic moment = 0.00 Bohr magnetons per cell
1.0
-6.111 -1.762 -5.649
2.818 -0.442 8.014
-8.242 16.397 3.802
Sm Te Ag Cs
4 10 6 2
Direct
0.310 0.690 0.093
0.690 0.310 0.907
0.310 0.690 0.407
0.690 0.310 0.593
0.061 0.939 0.619
0.675 0.325 0.426
0.939 0.061 0.381
0.939 0.061 0.119
0.245 0.755 0.250
0.325 0.675 0.574
0.755 0.245 0.750
0.325 0.675 0.926
0.061 0.939 0.881
0.675 0.325 0.074
0.913 0.087 0.969
0.840 0.160 0.250
0.087 0.913 0.031
0.913 0.087 0.531
0.087 0.913 0.469
0.160 0.840 0.750
0.441 0.559 0.750
0.559 0.441 0.250

---

2.
CsAgSn, optimized geometry, DFT GGA-PBE; total energy = -2.17 eV per atom
1.0
-3.141 2.223 3.947
-4.166 3.347 -1.351
-5.209 -1.681 0.651
Ag Sn Cs
1 1 1
Direct
0.000 0.000 0.000
0.750 0.750 0.750
0.250 0.250 0.250

---

3.
CsAgSn, optimized geometry, DFT GGA-PBE; total energy = -1.70 eV per atom
1.0
1.669 -5.037 -2.275
-3.791 -3.262 -2.885
0.454 -0.571 -5.727
Ag Sn Cs
1 1 1
Direct
0.250 0.250 0.250
0.750 0.750 0.750
0.000 0.000 0.000

---

Which value of total energy does entry 3 give?
-1.70 eV per atom